Here is a relaxed Tc2AgIr crystal from Alexandria via LeMat-Bulk. Energies are from PBEsol.

Summary:
**Formation energy from the elements**: 552 meV per atom
**Polymorph energy (0 for the lowest one)**: 0.1807 eV/atom

a b c (Å): 4.6730 4.6730 2.6966
angles (deg): 90.00 90.00 90.00
Space group P4/mmm (No. 123)
Asymmetric unit:
Tc 0.0000 0.5000 0.0000 (multiplicity 2)
Ag 0.0000 0.0000 0.5000 (multiplicity 1)
Ir 0.5000 0.5000 0.5000 (multiplicity 1)